(1)
First-principles (GGA-PBE) data for crystalline Sn2Pd5Pb2 at its relaxed geometry, as listed in the Alexandria database.

a b c (Å): 3.4250 7.5149 7.5996
angles (deg): 70.56 103.03 89.98
Closest atoms and distances in Å follow each position.
Fractional positions:
Pd  0.8900  0.5988  0.7804  4 Sn 2.78-2.85, 2 Pb 2.94-2.95, 3 Pd 3.03-3.08
Pd  0.6603  0.0485  0.3204  1 Sn 2.68, 3 Pb 2.86-2.87
Pd  0.0000  0.0000  0.0000  4 Sn 2.77, 4 Pd 3.05
Pd  0.1100  0.4012  0.2196  4 Sn 2.78-2.85, 2 Pb 2.94-2.95, 3 Pd 3.03-3.08
Pd  0.3397  0.9515  0.6796  1 Sn 2.68, 3 Pb 2.86-2.87
Sn  0.4815  0.3005  0.9625  7 Pd 2.68-2.85
Sn  0.5185  0.6995  0.0375  7 Pd 2.68-2.85
Pb  0.2188  0.7247  0.4359  6 Pd 2.86-3.18
Pb  0.7812  0.2753  0.5641  6 Pd 2.86-3.18

Calculated values
The calculation puts the raw total energy at -4.907 eV/atom. The calculation puts the density at 10.98 g/cm3. For the density of states at the Fermi level, the calculation gives 3.71 states/eV per cell. The total moment is 0.000 Bohr magnetons per cell. As for the polymorph energy (0 for the lowest one): 0 meV/atom. For the formation enthalpy at 0 K, the calculation gives -0.308 eV/atom.

(2)
First-principles (GGA-PBE) data for crystalline InMoPb2 at its relaxed geometry, as listed in the Alexandria database.

a b c (Å): 10.9870 10.9870 10.9870
angles (deg): 17.17 17.17 17.17
Closest atoms and distances in Å follow each position.
Fractional positions:
Pb  0.4876  0.4876  0.4876  3 Mo 2.98, 6 Pb 3.28
Pb  0.0124  0.0124  0.0124  3 Mo 2.98, 6 Pb 3.28
Mo  0.7500  0.7500  0.7500  6 Pb 2.98, 6 Mo 3.28
In  0.2500  0.2500  0.2500  6 In 3.28, 6 Pb 3.64

Calculated values
The calculation puts the raw total energy at -4.749 eV/atom. The calculation puts the density at 10.29 g/cm3. For the density of states at the Fermi level, the calculation gives 4.34 states/eV per cell. The total moment is 0.395 Bohr magnetons per cell. For the formation enthalpy at 0 K, the calculation gives 0.497 eV/atom.

(3)
First-principles (GGA-PBE) data for crystalline TaMn2Fe at its relaxed geometry, as listed in the Alexandria database.

a b c (Å): 4.7461 4.7461 4.7461
angles (deg): 135.33 135.33 65.01
Closest atoms and distances in Å follow each position.
Fractional positions:
Fe  0.7500  0.2500  0.5000  4 Ta 2.55, 8 Mn 2.69
Mn  0.5000  0.5000  0.0000  4 Mn 2.55, 4 Fe 2.69, 4 Ta 2.69
Mn  0.0000  0.0000  0.0000  4 Mn 2.55, 4 Ta 2.69, 4 Fe 2.69
Ta  0.2500  0.7500  0.5000  4 Fe 2.55, 8 Mn 2.69

Calculated values
The calculation puts the raw total energy at -9.548 eV/atom. The calculation puts the density at 11.05 g/cm3. For the density of states at the Fermi level, the calculation gives 5.00 states/eV per cell. The total moment is 3.856 Bohr magnetons per cell. For the formation enthalpy at 0 K, the calculation gives 0.115 eV/atom.

(4)
First-principles (GGA-PBE) data for crystalline BaTlBi6 at its relaxed geometry, as listed in the Alexandria database.

a b c (Å): 5.7272 7.3499 7.3499
angles (deg): 119.04 90.00 90.00
Closest atoms and distances in Å follow each position.
Fractional positions:
Bi  0.5000  0.9081  0.5833  8 Bi 3.49-3.79, 2 Tl 3.55, 2 Ba 3.67-3.68
Bi  0.0000  0.0469  0.3903  6 Bi 3.26-3.56, 1 Tl 3.65
Bi  0.5000  0.4167  0.0919  8 Bi 3.49-3.79, 2 Tl 3.55, 2 Ba 3.67-3.68
Bi  0.0000  0.6097  0.9531  6 Bi 3.26-3.56, 1 Tl 3.65
Bi  0.5000  0.9147  0.0853  8 Bi 3.47-3.68, 2 Tl 3.65, 2 Ba 3.73
Bi  0.0000  0.6001  0.3999  6 Bi 3.32-3.49
Tl  0.0000  0.0928  0.9072  12 Bi 3.55-3.73
Ba  0.5000  0.4108  0.5892  12 Bi 3.67-3.73

Calculated values
The calculation puts the raw total energy at -3.607 eV/atom. The calculation puts the density at 9.80 g/cm3. For the density of states at the Fermi level, the calculation gives 3.91 states/eV per cell. The total moment is 0.000 Bohr magnetons per cell. For the formation enthalpy at 0 K, the calculation gives -0.160 eV/atom.

(5)
First-principles (GGA-PBE) data for crystalline Ag2BiF8 at its relaxed geometry, as listed in the Alexandria database.

a b c (Å): 3.9441 5.4567 7.5903
angles (deg): 102.61 105.06 90.00
Closest atoms and distances in Å follow each position.
Fractional positions:
F  0.4179  0.6136  0.8358  1 Bi 2.18
F  0.5821  0.3864  0.1642  1 Bi 2.18
F  0.3599  0.0536  0.7199  1 Bi 2.14
F  0.6401  0.9464  0.2801  1 Bi 2.14
F  0.2428  0.3306  0.4856  3 Ag 2.14-2.37
F  0.7572  0.6694  0.5144  3 Ag 2.14-2.37
F  0.9711  0.1936  0.9422  2 Bi 2.32, 1 Ag 2.44, 3 F 2.45-2.56
F  0.0289  0.8064  0.0578  2 Bi 2.32, 1 Ag 2.44, 3 F 2.45-2.56
Ag  0.1652  0.6192  0.3304  3 F 2.14-2.37
Ag  0.8348  0.3808  0.6696  3 F 2.14-2.37
Bi  0.5000  0.0000  0.0000  8 F 2.14-2.32

Calculated values
The formation energy without anion corrections is -1.423 eV per atom. The calculation puts the raw total energy at -3.655 eV/atom. The calculation puts the density at 6.23 g/cm3. For the density of states at the Fermi level, the calculation gives 4.52 states/eV per cell. The total moment is 1.325 Bohr magnetons per cell. As for the polymorph energy (0 for the lowest one): 85 meV/atom.

(6)
First-principles (GGA-PBE) data for crystalline Ho4PuGe4 at its relaxed geometry, as listed in the Alexandria database.

a b c (Å): 5.7752 9.1975 9.1975
angles (deg): 90.00 90.00 90.00
Closest atoms and distances in Å follow each position.
Fractional positions:
Ho  0.9996  0.5989  0.8042  5 Ge 2.89-2.94
Ho  0.4996  0.6958  0.0989  5 Ge 2.89-2.94
Ho  0.5004  0.0989  0.3042  5 Ge 2.89-2.94
Ho  0.9996  0.4011  0.1958  5 Ge 2.89-2.94
Ho  0.5004  0.9011  0.6958  5 Ge 2.89-2.94
Ho  0.0004  0.8042  0.4011  5 Ge 2.89-2.94
Ho  0.4996  0.3042  0.9011  5 Ge 2.89-2.94
Ho  0.0004  0.1958  0.5989  5 Ge 2.89-2.94
Ge  0.4996  0.6020  0.7937  1 Pu 2.86, 5 Ho 2.89-2.94
Ge  0.5004  0.2063  0.6020  1 Pu 2.86, 5 Ho 2.89-2.94
Ge  0.9996  0.7063  0.1020  1 Pu 2.86, 5 Ho 2.89-2.94
Ge  0.5004  0.7937  0.3980  1 Pu 2.86, 5 Ho 2.89-2.94
Ge  0.4996  0.3980  0.2063  1 Pu 2.86, 5 Ho 2.89-2.94
Ge  0.0004  0.1020  0.2937  1 Pu 2.86, 5 Ho 2.89-2.94
Ge  0.0004  0.8980  0.7063  1 Pu 2.86, 5 Ho 2.89-2.94
Ge  0.9996  0.2937  0.8980  1 Pu 2.86, 5 Ho 2.89-2.94
Pu  0.0000  0.0000  0.0000  4 Ge 2.86
Pu  0.5000  0.5000  0.5000  4 Ge 2.86

Calculated values
The calculation puts the raw total energy at -6.192 eV/atom. The calculation puts the density at 8.12 g/cm3. For the density of states at the Fermi level, the calculation gives 21.08 states/eV per cell. The total moment is 10.467 Bohr magnetons per cell. For the formation enthalpy at 0 K, the calculation gives -0.513 eV/atom.

(7)
First-principles (GGA-PBE) data for crystalline YEr2Zn3 at its relaxed geometry, as listed in the Alexandria database.

a b c (Å): 3.5587 5.0159 7.9414
angles (deg): 108.41 90.00 90.00
Closest atoms and distances in Å follow each position.
Fractional positions:
Y  0.0000  0.0000  0.0000  8 Zn 3.08-3.10
Er  0.0000  0.6667  0.3334  8 Zn 3.05-3.08
Er  0.0000  0.3333  0.6666  8 Zn 3.05-3.08
Zn  0.5000  0.5000  0.0000  4 Y 3.08, 4 Er 3.08
Zn  0.5000  0.1687  0.3374  6 Er 3.05-3.08, 2 Y 3.10
Zn  0.5000  0.8313  0.6626  6 Er 3.05-3.08, 2 Y 3.10

Calculated values
The calculation puts the raw total energy at -3.587 eV/atom. The calculation puts the density at 7.65 g/cm3. For the density of states at the Fermi level, the calculation gives 6.59 states/eV per cell. The total moment is 0.001 Bohr magnetons per cell. For the formation enthalpy at 0 K, the calculation gives -0.352 eV/atom.

(8)
First-principles (GGA-PBE) data for crystalline TbNd2HoEr2 at its relaxed geometry, as listed in the Alexandria database.

a b c (Å): 5.6487 6.9944 9.7989
angles (deg): 90.00 90.00 90.00
Closest atoms and distances in Å follow each position.
Fractional positions:
Ho  0.5000  0.7579  0.3386  5 Er 3.22-3.50
Ho  0.5000  0.2579  0.6614  5 Er 3.22-3.50
Nd  0.5000  0.0075  0.9998  6 Nd 3.50-3.74, 6 Er 3.69-3.71, 2 Ho 3.75
Nd  0.5000  0.5075  0.0002  6 Nd 3.50-3.74, 6 Er 3.69-3.71, 2 Ho 3.75
Nd  0.0000  0.2573  0.1743  5 Er 3.23-3.50
Nd  0.0000  0.7573  0.8257  5 Er 3.23-3.50
Er  0.0000  0.7574  0.1644  2 Ho 3.30, 7 Nd 3.32-3.69
Er  0.5000  0.7578  0.6667  3 Ho 3.22-3.50, 2 Nd 3.23
Er  0.5000  0.2578  0.3333  3 Ho 3.22-3.50, 2 Nd 3.23
Er  0.0000  0.2574  0.8356  2 Ho 3.30, 7 Nd 3.32-3.69
Tb  0.0000  0.5077  0.4999  2 Tb 3.50, 2 Nd 3.64, 4 Ho 3.68, 6 Er 3.70-3.73
Tb  0.0000  0.0077  0.5001  2 Tb 3.50, 2 Nd 3.64, 4 Ho 3.68, 6 Er 3.70-3.73

Calculated values
The calculation puts the raw total energy at -4.576 eV/atom. The calculation puts the density at 8.12 g/cm3. For the density of states at the Fermi level, the calculation gives 18.81 states/eV per cell. The total moment is 0.000 Bohr magnetons per cell. For the formation enthalpy at 0 K, the calculation gives 0.069 eV/atom.

(9)
First-principles (GGA-PBE) data for crystalline Ba2NaAg3 at its relaxed geometry, as listed in the Alexandria database.

a b c (Å): 4.7608 4.7568 9.6157
angles (deg): 104.32 104.33 90.00
Closest atoms and distances in Å follow each position.
Fractional positions:
Ba  0.8564  0.3564  0.7128  6 Ag 3.56-3.59, 4 Na 3.84
Ba  0.1346  0.1346  0.2693  10 Ag 3.61-3.69, 2 Na 3.96
Ag  0.7072  0.7072  0.4144  3 Ag 2.80-2.82
Ag  0.5519  0.5519  0.1038  1 Ag 2.80, 2 Na 2.91
Ag  0.2912  0.7912  0.5824  2 Ag 2.82, 1 Na 3.02
Na  0.4587  0.9587  0.9174  3 Ag 2.91-3.02

Calculated values
The calculation puts the raw total energy at -2.468 eV/atom. The calculation puts the density at 5.06 g/cm3. For the density of states at the Fermi level, the calculation gives 3.13 states/eV per cell. The total moment is 0.000 Bohr magnetons per cell. As for the polymorph energy (0 for the lowest one): 4 meV/atom. For the formation enthalpy at 0 K, the calculation gives -0.182 eV/atom.

(10)
First-principles (GGA-PBE) data for crystalline Sr4CaDy3Te8 at its relaxed geometry, as listed in the Alexandria database.

a b c (Å): 9.0467 9.1558 9.0471
angles (deg): 119.62 120.00 90.00
Closest atoms and distances in Å follow each position.
Fractional positions:
Ca  0.0000  0.5000  0.0000  6 Te 3.16
Sr  0.0000  0.0000  0.0000  6 Te 3.30-3.31
Sr  0.0000  0.0000  0.5000  6 Te 3.31
Sr  0.5000  0.0000  0.5000  6 Te 3.31
Sr  0.5000  0.0000  0.0000  6 Te 3.28
Te  0.2458  0.7320  0.4915  2 Dy 3.13, 1 Ca 3.16, 3 Sr 3.28-3.31
Te  0.7405  0.7314  0.9858  2 Dy 3.13, 1 Ca 3.16, 3 Sr 3.28-3.31
Te  0.2564  0.2696  0.5129  3 Dy 3.13, 3 Sr 3.30-3.31
Te  0.7547  0.2686  0.0142  2 Dy 3.13, 1 Ca 3.16, 3 Sr 3.28-3.31
Te  0.7436  0.7304  0.4871  3 Dy 3.13, 3 Sr 3.30-3.31
Te  0.2453  0.7314  0.9858  2 Dy 3.13, 1 Ca 3.16, 3 Sr 3.28-3.31
Te  0.7542  0.2680  0.5085  2 Dy 3.13, 1 Ca 3.16, 3 Sr 3.28-3.31
Te  0.2595  0.2686  0.0142  2 Dy 3.13, 1 Ca 3.16, 3 Sr 3.28-3.31
Dy  0.0000  0.5000  0.5000  6 Te 3.13
Dy  0.5000  0.5000  0.5000  6 Te 3.13
Dy  0.5000  0.5000  0.0000  6 Te 3.13

Calculated values
The formation energy without anion corrections is -1.538 eV per atom. The calculation puts the raw total energy at -4.517 eV/atom. The calculation puts the density at 5.92 g/cm3. For the density of states at the Fermi level, the calculation gives 5.28 states/eV per cell. The total moment is 0.000 Bohr magnetons per cell.